{"formula": "Sn2Mo2P", "functional": "PBE", "state": "optimized geometry", "magnetic_moment_mub_per_fu": 0.00, "total_energy_ev_per_cell": -68.30, "space_group": "No. 127", "formation_energy_ev_per_atom": 0.186, "lattice": [[6.463, 0.000, 0.000], [0.000, 6.463, 0.000], [0.000, 0.000, 4.472]], "species": ["Sn", "Sn", "Sn", "Sn", "Mo", "Mo", "Mo", "Mo", "P", "P"], "frac_coords": [[0.161, 0.339, 0.000], [0.339, 0.839, 0.000], [0.661, 0.161, 0.000], [0.839, 0.661, 0.000], [0.158, 0.658, 0.500], [0.342, 0.158, 0.500], [0.658, 0.842, 0.500], [0.842, 0.342, 0.500], [0.000, 0.000, 0.500], [0.500, 0.500, 0.500]]}